# PBE with a Hubbard U NiSe3O, relaxed
# Polymorph energy (0 for the lowest one)   0.000 eV/atom
# DOS(E_F)   1.684 states/eV per atom
# Final energy   -2.60 eV/atom
data_NiSe3O
_chemical_formula_sum 'Ni1 Se3 O1'
_cell_length_a 4.427
_cell_length_b 4.427
_cell_length_c 4.427
_cell_angle_alpha 90.00
_cell_angle_beta 90.00
_cell_angle_gamma 90.00
_symmetry_space_group_name_H-M 'P 1'
_symmetry_Int_Tables_number 1
_symmetry_space_group_name_Hall 'P 1'
loop_
_atom_site_label
_atom_site_type_symbol
_atom_site_fract_x
_atom_site_fract_y
_atom_site_fract_z
Ni1 Ni 0.000 0.000 0.000
Se1 Se 0.000 0.500 0.500
Se2 Se 0.500 0.000 0.500
Se3 Se 0.500 0.500 0.000
O1 O 0.500 0.500 0.500